(1)
NpSiGe2 | Alexandria | PBE-GGA | relaxed; ΔE_f (raw) = 803 meV per atom; polymorph energy (0 for the lowest one) = 1001 meV/atom
1.0
2.3752 1.3713 6.5646
-2.3752 1.3713 6.5646
0.0000 -2.7427 6.5646
Np Si Ge
1 1 2
Direct
0.0000 0.0000 0.0000
0.5000 0.5000 0.5000
0.3847 0.3847 0.3847
0.6153 0.6153 0.6153


(2)
NpZnCo2H8 | Alexandria | PBE-GGA | relaxed; uncorrected energy = -4.482 eV per atom
1.0
4.4767 0.0000 0.0000
-2.2384 3.8769 0.0000
0.0000 0.0000 6.1642
Np Zn Co H
1 1 2 8
Direct
0.0000 0.0000 0.0000
0.0000 0.0000 0.5000
0.3333 0.6667 0.1367
0.6667 0.3333 0.8633
0.1708 0.3416 0.3002
0.1708 0.8292 0.3002
0.3333 0.6667 0.8833
0.3416 0.1708 0.6998
0.6584 0.8292 0.3002
0.6667 0.3333 0.1167
0.8292 0.1708 0.6998
0.8292 0.6584 0.6998


(3)
P2AuBr | Alexandria | PBE-GGA | relaxed; ΔE_f (raw) = 232 meV per atom; polymorph energy (0 for the lowest one) = 120 meV/atom
1.0
3.4872 0.0000 0.0000
0.0000 3.4872 0.0000
0.0000 0.0000 6.8886
P Au Br
2 1 1
Direct
0.0000 0.0000 0.0000
0.5000 0.5000 0.0323
0.5000 0.5000 0.3671
0.0000 0.0000 0.6512


(4)
Rb2InSn3Au4 | Alexandria | PBE-GGA | relaxed; ΔE_f = -0.28 eV/atom
1.0
5.0433 0.0000 0.0000
0.0000 5.0433 0.0000
0.0000 0.0000 10.9553
Rb In Sn Au
2 1 3 4
Direct
0.0000 0.5000 0.2452
0.5000 0.0000 0.7548
0.0000 0.0000 0.5000
0.0000 0.5000 0.8842
0.5000 0.0000 0.1158
0.5000 0.5000 0.5000
0.0000 0.0000 0.0000
0.0000 0.5000 0.6258
0.5000 0.0000 0.3742
0.5000 0.5000 0.0000


(5)
Ba2Zn2W | Alexandria | PBE-GGA | relaxed; ΔE_f = 1.03 eV/atom; polymorph energy (0 for the lowest one) = 211 meV/atom
1.0
9.4448 0.0000 0.0000
0.0000 9.4448 0.0000
0.0000 0.0000 3.2374
Ba Zn W
4 4 2
Direct
0.1943 0.3057 0.0000
0.3057 0.8057 0.0000
0.6943 0.1943 0.0000
0.8057 0.6943 0.0000
0.0982 0.5982 0.5000
0.4018 0.0982 0.5000
0.5982 0.9018 0.5000
0.9018 0.4018 0.5000
0.0000 0.0000 0.0000
0.5000 0.5000 0.0000


(6)
CaMgCr2 | Alexandria | PBE-GGA | relaxed; ΔE_f = 0.31 eV/atom
1.0
3.2120 0.0000 0.0000
0.0000 3.2120 0.0000
0.0000 0.0000 7.8299
Ca Mg Cr
1 1 2
Direct
0.0000 0.0000 0.0000
0.5000 0.5000 0.3438
0.0000 0.0000 0.5868
0.5000 0.5000 0.7083


What did we get for total moment? Answer: 3.53, 2.40, 0.00, 0.00, 2.33, 0.01 μB per formula unit, in the order shown.
What did we get for DOS at the Fermi energy? Answer: 9.839, 7.576, 1.165, 4.811, 5.032, 1.407 states/eV/f.u., in the order shown.
What did we get for calculated volume? Answer: 128, 107, 84, 279, 144, 81 Å³/f.u., in the order shown.